# 1
{
  "formula": "DyAgSn2",
  "functional": "PBE",
  "state": "optimized geometry",
  "e_form_ev_per_atom": -0.28,
  "dft_energy_ev_per_atom": -4.145,
  "cell": [[-3.126, -3.396, -0.679], [-0.872, -3.080, 3.393], [-5.153, 0.984, 2.776]],
  "species": ["Sn", "Sn", "Dy", "Ag"],
  "fractional_positions": [[0.766, 0.766, 0.703], [0.234, 0.234, 0.297], [0.000, 0.000, 0.000], [0.500, 0.500, 0.500]]
}

# 2
{
  "formula": "DyAg4Sn",
  "functional": "PBE",
  "state": "optimized geometry",
  "e_form_ev_per_atom": -0.17,
  "dft_energy_ev_per_atom": -3.502,
  "cell": [[-5.168, 2.090, 0.762], [-4.466, -3.418, -0.145], [-2.826, -1.139, 4.730]],
  "species": ["Ag", "Ag", "Ag", "Ag", "Dy", "Sn"],
  "fractional_positions": [[0.625, 0.625, 0.625], [0.126, 0.625, 0.625], [0.625, 0.126, 0.625], [0.625, 0.625, 0.126], [0.250, 0.250, 0.250], [0.000, 0.000, 0.000]]
}

# 3
{
  "formula": "Dy4Ag2Sn",
  "functional": "PBE",
  "state": "optimized geometry",
  "e_form_ev_per_atom": -0.26,
  "dft_energy_ev_per_atom": -4.278,
  "cell": [[4.924, 0.000, 1.538], [2.222, 4.394, 1.538], [-0.018, -0.011, 8.708]],
  "species": ["Sn", "Ag", "Ag", "Dy", "Dy", "Dy", "Dy"],
  "fractional_positions": [[0.000, 0.000, 0.000], [0.746, 0.746, 0.763], [0.254, 0.254, 0.237], [0.869, 0.869, 0.393], [0.385, 0.385, 0.845], [0.615, 0.615, 0.155], [0.131, 0.131, 0.607]]
}

# 4
{
  "formula": "Dy2AgSn3",
  "functional": "PBE",
  "state": "optimized geometry",
  "e_form_ev_per_atom": -0.25,
  "dft_energy_ev_per_atom": -4.265,
  "cell": [[5.621, 0.000, 0.000], [0.000, 8.082, -0.397], [0.000, -3.029, 7.503]],
  "species": ["Sn", "Sn", "Sn", "Sn", "Sn", "Sn", "Dy", "Dy", "Dy", "Dy", "Ag", "Ag"],
  "fractional_positions": [[0.000, 0.813, 0.187], [0.250, 0.396, 0.396], [0.000, 0.187, 0.813], [0.500, 0.187, 0.813], [0.500, 0.813, 0.187], [0.750, 0.604, 0.604], [0.750, 0.177, 0.455], [0.250, 0.545, 0.823], [0.750, 0.455, 0.177], [0.250, 0.823, 0.545], [0.750, 0.936, 0.936], [0.250, 0.064, 0.064]]
}